# 1
# DyYErTh

An optimized crystal structure of DyYErTh (PBE, the Alexandria database). Values from VASP.

The density of states at the Fermi level comes out at 6.7 states/eV per cell. As for the energy above the lowest structure with this stoichiometry: 0 meV/atom. Its magnetic moment is 0.0 μB/f.u. The electronic total energy comes out at -23.021 eV per cell. The calculation puts the formation energy at 0.007 eV per atom.

```
&SYSTEM
  ibrav = 0, nat = 4, ntyp = 4
/
ATOMIC_SPECIES
Dy 162.50 Dy.upf
Y 88.91 Y.upf
Er 167.26 Er.upf
Th 232.04 Th.upf
CELL_PARAMETERS angstrom
1.792 1.035 11.401
-1.792 1.035 11.401
0.000 -2.069 11.401
ATOMIC_POSITIONS crystal
Dy 0.000 0.000 0.000
Y 0.581 0.581 0.581
Er 0.750 0.750 0.750
Th 0.164 0.164 0.164
```

# 2
# Pu2SnSe2O2

An optimized crystal structure of Pu2SnSe2O2 (PBE, the Alexandria database). Values from VASP.

The density of states at the Fermi level comes out at 14.8 states/eV per cell. Its uncorrected formation energy is -1.5985 eV/atom. Its magnetic moment is 8.7 μB/f.u. The electronic total energy comes out at -60.741 eV per cell.

```
&SYSTEM
  ibrav = 0, nat = 7, ntyp = 4
/
ATOMIC_SPECIES
Pu 244.00 Pu.upf
Sn 118.71 Sn.upf
Se 78.96 Se.upf
O 16.00 O.upf
CELL_PARAMETERS angstrom
3.714 0.000 0.000
-1.857 3.217 0.000
0.000 0.000 13.992
ATOMIC_POSITIONS crystal
Pu 0.333 0.667 0.265
Pu 0.667 0.333 0.735
Sn 0.000 0.000 0.500
Se 0.000 0.000 0.136
Se 0.000 0.000 0.864
O 0.333 0.667 0.684
O 0.667 0.333 0.316
```

# 3
# CuSe2O5

An optimized crystal structure of CuSe2O5 (PBE, the Alexandria database). Values from VASP.

The density of states at the Fermi level comes out at 2.6 states/eV per cell. As for the energy above the lowest structure with this stoichiometry: 0 meV/atom. Its uncorrected formation energy is -0.6909 eV/atom. Its magnetic moment is 0.9 μB/f.u. The electronic total energy comes out at -82.767 eV per cell.

```
&SYSTEM
  ibrav = 0, nat = 16, ntyp = 3
/
ATOMIC_SPECIES
Cu 63.55 Cu.upf
Se 78.96 Se.upf
O 16.00 O.upf
CELL_PARAMETERS angstrom
6.264 -2.619 0.000
6.264 2.619 0.000
-2.857 0.000 7.572
ATOMIC_POSITIONS crystal
Cu 0.000 0.000 0.000
Cu 0.000 0.000 0.500
Se 0.273 0.451 0.676
Se 0.451 0.273 0.176
Se 0.549 0.727 0.824
Se 0.727 0.549 0.324
O 0.091 0.662 0.849
O 0.095 0.657 0.514
O 0.338 0.909 0.651
O 0.343 0.905 0.986
O 0.413 0.587 0.250
O 0.587 0.413 0.750
O 0.657 0.095 0.014
O 0.662 0.091 0.349
O 0.905 0.343 0.486
O 0.909 0.338 0.151
```